(1)
DFT (PBE) results for Nb2AlB after structural relaxation.

Lattice parameters (Å, degrees): 3.1991 3.1991 13.9458 90.00 90.00 120.00
Fractional coordinates of all 8 atoms:
1 Nb 0.6667 0.3333 0.5915
2 Nb 0.3333 0.6667 0.4085
3 Nb 0.6667 0.3333 0.9085
4 Nb 0.3333 0.6667 0.0915
5 Al 0.6667 0.3333 0.2500
6 Al 0.3333 0.6667 0.7500
7 B 0.0000 0.0000 0.0000
8 B 0.0000 0.0000 0.5000

Results
Volume in A^3/atom: 15.5
E in eV per cell: -64.802
Density in g/cm3: 6.0

(2)
DFT (PBE) results for TbTmCo2Si4 after structural relaxation.

Lattice parameters (Å, degrees): 3.9489 8.3773 8.3773 27.62 90.00 90.00
Fractional coordinates of all 8 atoms:
1 Si 0.0000 0.4568 0.4568
2 Si 0.0000 0.7509 0.7509
3 Si 0.5000 0.2505 0.2505
4 Si 0.5000 0.5421 0.5421
5 Co 0.5000 0.6786 0.6786
6 Co 0.0000 0.3219 0.3219
7 Tb 0.0000 0.1076 0.1076
8 Tm 0.5000 0.8916 0.8916

Results
Volume in A^3/atom: 16.1
E in eV per cell: -51.244
Density in g/cm3: 7.2

(3)
DFT (PBE) results for AlCuH6Os after structural relaxation.

Lattice parameters (Å, degrees): 4.3571 4.3571 4.3571 60.00 60.00 60.00
Fractional coordinates of all 9 atoms:
1 H 0.0305 0.4695 0.4695
2 H 0.0305 0.4695 0.0305
3 H 0.0305 0.0305 0.4695
4 H 0.4695 0.4695 0.0305
5 H 0.4695 0.0305 0.4695
6 H 0.4695 0.0305 0.0305
7 Al 0.7500 0.7500 0.7500
8 Os 0.5000 0.5000 0.5000
9 Cu 0.0000 0.0000 0.0000

Results
Volume in A^3/atom: 6.5
E in eV per cell: -33.577
Density in g/cm3: 8.1

(4)
DFT (PBE) results for Gd2HoZn3CdIn2 after structural relaxation.

Lattice parameters (Å, degrees): 4.5891 7.1792 7.1792 119.60 90.00 90.00
Fractional coordinates of all 9 atoms:
1 Ho 0.0000 0.5720 0.5720
2 Gd 0.0000 0.0015 0.4290
3 Gd 0.0000 0.4290 0.0015
4 Zn 0.5000 0.0003 0.7660
5 Zn 0.5000 0.7660 0.0003
6 Zn 0.5000 0.2331 0.2331
7 In 0.5000 0.6665 0.3355
8 In 0.5000 0.3355 0.6665
9 Cd 0.0000 0.9961 0.9961

Results
Volume in A^3/atom: 22.9
E in eV per cell: -27.389
Density in g/cm3: 8.2

(5)
DFT (PBE) results for TbErMgAl after structural relaxation.

Lattice parameters (Å, degrees): 5.1854 5.1854 5.1854 60.00 60.00 60.00
Fractional coordinates of all 4 atoms:
1 Er 0.7500 0.7500 0.7500
2 Mg 0.0000 0.0000 0.0000
3 Tb 0.2500 0.2500 0.2500
4 Al 0.5000 0.5000 0.5000

Results
Volume in A^3/atom: 24.6
E in eV per cell: -15.561
Density in g/cm3: 6.4

(6)
DFT (PBE) results for Cu5Ag2 after structural relaxation.

Lattice parameters (Å, degrees): 4.6193 4.6424 4.6431 99.09 99.33 99.93
Fractional coordinates of all 7 atoms:
1 Cu 0.2829 0.0790 0.6354
2 Cu 0.5590 0.6344 0.7680
3 Cu 0.4410 0.3656 0.2320
4 Cu 0.7171 0.9210 0.3646
5 Cu 0.0000 0.5000 0.5000
6 Ag 0.1562 0.7899 0.0750
7 Ag 0.8438 0.2101 0.9250

Results
Volume in A^3/atom: 13.6
E in eV per cell: -23.620
Density in g/cm3: 9.3
Energy above the most stable polymorph in this dataset in kJ per mole of atoms: 3.5
Calculated formation energy in eV per atom: 0.088

(7)
DFT (PBE) results for HoEr after structural relaxation.

Lattice parameters (Å, degrees): 3.5791 3.5791 5.5539 90.00 90.00 120.00
Fractional coordinates of all 2 atoms:
1 Er 0.6667 0.3333 0.7500
2 Ho 0.3333 0.6667 0.2500

Results
Volume in A^3/atom: 30.8
E in eV per cell: -9.138
Density in g/cm3: 9.0
Energy above the most stable polymorph in this dataset in kJ per mole of atoms: 0.0
Calculated formation energy in eV per atom: 0.001

(8)
DFT (PBE) results for Hf6Pd2I after structural relaxation.

Lattice parameters (Å, degrees): 7.8010 7.8010 3.5198 90.00 90.00 120.00
Fractional coordinates of all 9 atoms:
1 Pd 0.3333 0.6667 0.0000
2 Pd 0.6667 0.3333 0.0000
3 Hf 0.6017 0.0000 0.5000
4 Hf 0.0000 0.2840 0.0000
5 Hf 0.7160 0.7160 0.0000
6 Hf 0.3983 0.3983 0.5000
7 Hf 0.0000 0.6017 0.5000
8 Hf 0.2840 0.0000 0.0000
9 I 0.0000 0.0000 0.5000

Results
Volume in A^3/atom: 20.6
E in eV per cell: -72.606
Density in g/cm3: 12.6